No. 1
Entry from Alexandria via LeMat-Bulk: a relaxed ScIn2Cl crystal (PBE).

Unit cell a=5.079 b=5.079 c=5.079 alpha=119.70 beta=119.70 gamma=90.53
Element x y z (fractional)
1 Cl 0.750 0.250 0.500
2 In 0.000 0.000 0.000
3 In 0.250 0.750 0.500
4 Sc 0.500 0.500 0.000

Calculated values
The value obtained for the density of states at the Fermi level is 0.64 states/eV/f.u. Its crystal system is tetragonal. The total DFT energy (no corrections) is -3.732 eV/atom. Its polymorph energy (0 for the lowest one) is 407 meV per atom. The calculation puts the calculated volume at 93.07 Å³/cell. The total magnetization comes out at 0.0 μB/cell.

No. 2
Entry from Alexandria via LeMat-Bulk: a relaxed ScInCl crystal (PBE).

Unit cell a=8.493 b=8.167 c=3.402 alpha=83.65 beta=72.89 gamma=23.46
Element x y z (fractional)
1 Cl 0.041 0.041 0.959
2 In 0.305 0.305 0.695
3 Sc 0.654 0.654 0.346

Calculated values
The value obtained for the density of states at the Fermi level is 2.34 states/eV/f.u. Its crystal system is orthorhombic. The total DFT energy (no corrections) is -4.387 eV/atom. Its polymorph energy (0 for the lowest one) is 165 meV per atom. The calculation puts the calculated volume at 81.52 Å³/cell. The total magnetization comes out at 0.0 μB/cell.

No. 3
Entry from Alexandria via LeMat-Bulk: a relaxed ScIn2Cl crystal (PBE).

Unit cell a=7.943 b=7.943 c=4.391 alpha=73.96 beta=73.96 gamma=22.47
Element x y z (fractional)
1 Cl 0.250 0.250 0.250
2 In 0.061 0.061 0.939
3 In 0.439 0.439 0.561
4 Sc 0.750 0.750 0.750

Calculated values
The value obtained for the density of states at the Fermi level is 2.52 states/eV/f.u. Its crystal system is orthorhombic. The total DFT energy (no corrections) is -3.977 eV/atom. Its polymorph energy (0 for the lowest one) is 162 meV per atom. The calculation puts the calculated volume at 101.60 Å³/cell. The total magnetization comes out at 0.0 μB/cell.

No. 4
Entry from Alexandria via LeMat-Bulk: a relaxed ScIn2Cl6 crystal (PBE).

Unit cell a=7.254 b=7.254 c=12.762 alpha=90.00 beta=90.00 gamma=120.00
Element x y z (fractional)
1 Sc 0.333 0.667 0.295
2 Sc 0.667 0.333 0.795
3 In 0.000 0.000 0.557
4 In 0.000 0.000 0.057
5 In 0.333 0.667 0.761
6 In 0.667 0.333 0.261
7 Cl 0.492 0.985 0.158
8 Cl 0.508 0.492 0.658
9 Cl 0.985 0.492 0.658
10 Cl 0.015 0.508 0.158
11 Cl 0.492 0.508 0.158
12 Cl 0.508 0.015 0.658
13 Cl 0.833 0.666 0.887
14 Cl 0.167 0.833 0.387
15 Cl 0.666 0.833 0.387
16 Cl 0.334 0.167 0.887
17 Cl 0.833 0.167 0.887
18 Cl 0.167 0.334 0.387

Calculated values
The value obtained for the density of states at the Fermi level is 2.11 states/eV/f.u. Its crystal system is hexagonal. The total DFT energy (no corrections) is -3.878 eV/atom. The calculation puts the calculated volume at 581.64 Å³/cell. The total magnetization comes out at 2.0 μB/cell.

No. 5
Entry from Alexandria via LeMat-Bulk: a relaxed ScIn2Cl crystal (PBE).

Unit cell a=5.407 b=5.407 c=3.325 alpha=90.00 beta=90.00 gamma=97.18
Element x y z (fractional)
1 Cl 0.000 0.500 0.500
2 In 0.000 0.000 0.000
3 In 0.500 0.500 0.000
4 Sc 0.500 0.000 0.500

Calculated values
The value obtained for the density of states at the Fermi level is 3.28 states/eV/f.u. Its crystal system is orthorhombic. The total DFT energy (no corrections) is -3.823 eV/atom. Its polymorph energy (0 for the lowest one) is 316 meV per atom. The calculation puts the calculated volume at 96.43 Å³/cell. The total magnetization comes out at 0.0 μB/cell.

No. 6
Entry from Alexandria via LeMat-Bulk: a relaxed ScIn2Cl crystal (PBE).

Unit cell a=6.301 b=6.301 c=6.301 alpha=149.99 beta=126.84 gamma=62.26
Element x y z (fractional)
1 Cl 0.300 0.800 0.500
2 In 0.999 0.999 0.000
3 In 0.722 0.222 0.500
4 Sc 0.478 0.478 0.000

Calculated values
The value obtained for the density of states at the Fermi level is 2.03 states/eV/f.u. Its crystal system is orthorhombic. The total DFT energy (no corrections) is -4.013 eV/atom. Its polymorph energy (0 for the lowest one) is 126 meV per atom. The calculation puts the calculated volume at 99.25 Å³/cell. The total magnetization comes out at 0.0 μB/cell.

No. 7
Entry from Alexandria via LeMat-Bulk: a relaxed ScInCl crystal (PBE).

Unit cell a=4.174 b=4.174 c=8.063 alpha=90.00 beta=90.00 gamma=90.00
Element x y z (fractional)
1 Cl 0.000 0.000 0.000
2 Cl 0.500 0.500 0.000
3 In 0.000 0.500 0.420
4 In 0.500 0.000 0.580
5 Sc 0.000 0.500 0.796
6 Sc 0.500 0.000 0.204

Calculated values
The value obtained for the density of states at the Fermi level is 1.13 states/eV/f.u. Its crystal system is tetragonal. The total DFT energy (no corrections) is -4.451 eV/atom. Its polymorph energy (0 for the lowest one) is 101 meV per atom. The calculation puts the calculated volume at 140.49 Å³/cell. The total magnetization comes out at 0.0 μB/cell.

No. 8
Entry from Alexandria via LeMat-Bulk: a relaxed Sc2In5Cl12 crystal (PBE).

Unit cell a=8.887 b=9.042 c=9.042 alpha=78.13 beta=71.27 gamma=71.27
Element x y z (fractional)
1 Sc 0.000 0.826 0.174
2 Sc 0.000 0.174 0.826
3 In 0.034 0.270 0.270
4 In 0.442 0.358 0.358
5 In 0.500 0.000 0.000
6 In 0.558 0.642 0.642
7 In 0.966 0.730 0.730
8 Cl 0.161 0.881 0.881
9 Cl 0.176 0.184 0.554
10 Cl 0.176 0.554 0.184
11 Cl 0.806 0.081 0.745
12 Cl 0.806 0.745 0.081
13 Cl 0.720 0.425 0.425
14 Cl 0.280 0.575 0.575
15 Cl 0.194 0.919 0.255
16 Cl 0.194 0.255 0.919
17 Cl 0.824 0.816 0.446
18 Cl 0.824 0.446 0.816
19 Cl 0.839 0.119 0.119

Calculated values
The value obtained for the density of states at the Fermi level is 9.85 states/eV/f.u. Its crystal system is monoclinic. The total DFT energy (no corrections) is -3.872 eV/atom. The calculation puts the calculated volume at 647.46 Å³/cell. The total magnetization comes out at 0.0 μB/cell.

No. 9
Entry from Alexandria via LeMat-Bulk: a relaxed ScIn2Cl crystal (PBE).

Unit cell a=6.227 b=6.227 c=6.227 alpha=141.11 beta=141.11 gamma=56.17
Element x y z (fractional)
1 Cl 0.750 0.250 0.500
2 In 0.000 0.000 0.000
3 In 0.500 0.500 0.000
4 Sc 0.250 0.750 0.500

Calculated values
The value obtained for the density of states at the Fermi level is 4.76 states/eV/f.u. Its crystal system is tetragonal. The total DFT energy (no corrections) is -3.752 eV/atom. Its polymorph energy (0 for the lowest one) is 387 meV per atom. The calculation puts the calculated volume at 94.44 Å³/cell. The total magnetization comes out at 0.0 μB/cell.

No. 10
Entry from Alexandria via LeMat-Bulk: a relaxed Sc4InCl crystal (PBE).

Unit cell a=5.948 b=5.948 c=5.948 alpha=60.00 beta=60.00 gamma=60.00
Element x y z (fractional)
1 Sc 0.883 0.372 0.372
2 Sc 0.372 0.372 0.883
3 Sc 0.372 0.883 0.372
4 Sc 0.372 0.372 0.372
5 In 0.000 0.000 0.000
6 Cl 0.750 0.750 0.750

Calculated values
The value obtained for the density of states at the Fermi level is 8.21 states/eV/f.u. Its crystal system is cubic. The total DFT energy (no corrections) is -4.863 eV/atom. The calculation puts the calculated volume at 148.82 Å³/cell. The total magnetization comes out at 0.0 μB/cell.

No. 11
Entry from Alexandria via LeMat-Bulk: a relaxed ScIn2Cl crystal (PBE).

Unit cell a=3.349 b=3.349 c=10.476 alpha=90.00 beta=90.00 gamma=115.01
Element x y z (fractional)
1 Cl 0.500 0.500 0.679
2 In 0.000 0.000 0.028
3 In 0.500 0.500 0.283
4 Sc 0.000 0.000 0.510

Calculated values
The value obtained for the density of states at the Fermi level is 2.91 states/eV/f.u. Its crystal system is orthorhombic. The total DFT energy (no corrections) is -4.023 eV/atom. Its polymorph energy (0 for the lowest one) is 116 meV per atom. The calculation puts the calculated volume at 106.51 Å³/cell. The total magnetization comes out at 0.0 μB/cell.

No. 12
Entry from Alexandria via LeMat-Bulk: a relaxed ScIn2Cl crystal (PBE).

Unit cell a=9.511 b=9.511 c=9.511 alpha=20.94 beta=20.94 gamma=20.94
Element x y z (fractional)
1 Cl 0.250 0.250 0.250
2 In 0.998 0.998 0.998
3 In 0.502 0.502 0.502
4 Sc 0.750 0.750 0.750

Calculated values
The value obtained for the density of states at the Fermi level is 2.82 states/eV/f.u. Its crystal system is trigonal. The total DFT energy (no corrections) is -3.768 eV/atom. Its polymorph energy (0 for the lowest one) is 371 meV per atom. The calculation puts the calculated volume at 96.20 Å³/cell. The total magnetization comes out at 0.0 μB/cell.

Q: What is the total magnetization in the first record?
A: 0.0 μB/cell